Computed, not measured: a relaxed structure of Sc2Cr2W at the GGA-PBE level of DFT.

It has space group P4/mbm (No. 127), with a = 6.158 Å, b = 6.158 Å, c = 4.588 Å, α = 90.00°, β = 90.00° and γ = 90.00°. The inequivalent atoms are Sc at (0.176, 0.324, 0.000), Cr at (0.127, 0.627, 0.500) and W at (0.000, 0.000, 0.500).

For the theoretical density, the calculation gives 7.2 Mg/m³. The calculation puts the formation energy from the elements at 0.284 eV/atom. As for the crystal system: tetragonal. The total magnetization comes out at 0.00 μB per formula unit.